1.
## LaAl3Rh (GGA-PBEsol)

Data for a relaxed LaAl3Rh crystal.

Output
Density, g/cm³: 5.2
Energy of formation, meV per atom: -528
Density of states at the Fermi level, states/eV per cell: 3.16

Lattice parameters (Å, degrees): 4.692 4.692 4.692 90.00 90.00 90.00
Space group Pm-3m (No. 221)
Inequivalent atoms, fractional coordinates:
La 0.000 0.000 0.000 (multiplicity 1)
Al 0.000 0.500 0.500 (multiplicity 3)
Rh 0.500 0.500 0.500 (multiplicity 1)


2.
## Sc2TiBeFe (GGA-PBEsol)

Data for a relaxed Sc2TiBeFe crystal.

Output
Density, g/cm³: 3.5
Energy of formation, meV per atom: 429
Density of states at the Fermi level, states/eV per cell: 5.02

Lattice parameters (Å, degrees): 4.745 4.745 4.286 90.00 90.00 90.00
Space group P4/mmm (No. 123)
Inequivalent atoms, fractional coordinates:
Sc 0.000 0.500 0.000 (multiplicity 2)
Ti 0.000 0.000 0.500 (multiplicity 1)
Be 0.500 0.500 0.500 (multiplicity 1)
Fe 0.000 0.000 0.000 (multiplicity 1)


3.
## Mg2Zn (GGA-PBEsol)

Data for a relaxed Mg2Zn crystal.

Output
Density, g/cm³: 3.3
Energy of formation, meV per atom: -38
Density of states at the Fermi level, states/eV per cell: 1.77

Lattice parameters (Å, degrees): 3.094 3.242 11.437 90.00 90.00 90.00
Space group Immm (No. 71)
Inequivalent atoms, fractional coordinates:
Mg 0.000 0.000 0.151 (multiplicity 4)
Zn 0.000 0.000 0.500 (multiplicity 2)


4.
## Li3BiP2O8 (GGA-PBEsol)

Data for a relaxed Li3BiP2O8 crystal.

Output
Density, g/cm³: 4.6
Formation energy without anion corrections, eV per atom: -2.19
Density of states at the Fermi level, states/eV per cell: 0.00

Lattice parameters (Å, degrees): 8.4027 8.4027 7.4933 90.00 90.00 120.00
Space group P-3 (No. 147)
Inequivalent atoms, fractional coordinates:
Li 0.0000 0.0000 0.0000 (multiplicity 1)
Li 0.0127 0.3448 0.1339 (multiplicity 6)
Li 0.3333 0.6667 0.0081 (multiplicity 2)
Bi 0.0000 0.0000 0.5000 (multiplicity 1)
Bi 0.3333 0.6667 0.4593 (multiplicity 2)
P 0.0249 0.3313 0.7531 (multiplicity 6)
O 0.0902 0.8785 0.2231 (multiplicity 6)
O 0.1050 0.5840 0.2469 (multiplicity 6)
O 0.1289 0.3662 0.5738 (multiplicity 6)
O 0.1625 0.4228 0.9078 (multiplicity 6)


| no. | electronic total energy (eV per atom) |
| --- | --- |
| 1 | -5.68 |
| 2 | -6.47 |
| 3 | -1.71 |
| 4 | -6.74 |